VASP calculation (GGA-PBE) on a relaxed DyGaGe4 crystal.

abc: 5.5580 5.5580 5.5580
angles: 60.00 60.00 60.00
Closest atoms and distances in Å follow each position.
Atoms (fractional coordinates):
Dy 0.0000 0.0000 0.0000  12 Ge 3.26, 4 Ga 3.40
Ga 0.7500 0.7500 0.7500  12 Ge 3.26, 4 Dy 3.40
Ge 0.3752 0.3752 0.3752  6 Ge 2.77-2.78
Ge 0.3752 0.3752 0.8743  6 Ge 2.77-2.78
Ge 0.3752 0.8743 0.3752  6 Ge 2.77-2.78
Ge 0.8743 0.3752 0.3752  6 Ge 2.77-2.78

The total magnetization is 0.00 μB per cell. The crystal system is cubic. For the formation energy, the calculation gives -143 meV per atom. The total energy comes out at -4.493 eV per atom. Its density of states at the Fermi level is 0.61 states/eV per atom.

VASP calculation (GGA-PBE) on a relaxed Dy4Ga5Ge6 crystal.

abc: 9.7538 9.7538 16.5630
angles: 90.00 90.00 155.78
Closest atoms and distances in Å follow each position.
Atoms (fractional coordinates):
Dy 0.0200 0.9800 0.5000  8 Ge 3.04-3.36, 1 Ga 3.12
Dy 0.0525 0.9475 0.7841  1 Ga 2.88, 5 Ge 3.03-3.19
Dy 0.1631 0.8369 0.3042  5 Ga 3.00-3.23, 5 Ge 3.14-3.18
Dy 0.1901 0.8099 0.9690  5 Ge 3.01-3.05, 5 Ga 3.03-3.33
Dy 0.8099 0.1901 0.4690  5 Ge 3.01-3.05, 5 Ga 3.03-3.33
Dy 0.8369 0.1631 0.8042  5 Ga 3.00-3.23, 5 Ge 3.14-3.18
Dy 0.9475 0.0525 0.2841  1 Ga 2.88, 5 Ge 3.03-3.19
Dy 0.9800 0.0200 0.0000  8 Ge 3.04-3.36, 1 Ga 3.12
Ga 0.1327 0.8673 0.6367  4 Ge 2.48-2.59
Ga 0.2995 0.7005 0.6276  4 Ge 2.65-2.82, 1 Ga 2.95
Ga 0.3213 0.6787 0.3321  3 Ge 2.47-2.51
Ga 0.3463 0.6537 0.9366  3 Ge 2.44-2.48
Ga 0.4375 0.5625 0.7082  4 Ge 2.50-2.63
Ga 0.5625 0.4375 0.2082  4 Ge 2.50-2.63
Ga 0.6537 0.3463 0.4366  3 Ge 2.44-2.48
Ga 0.6787 0.3213 0.8321  3 Ge 2.47-2.51
Ga 0.7005 0.2995 0.1276  4 Ge 2.65-2.82, 1 Ga 2.95
Ga 0.8673 0.1327 0.1367  4 Ge 2.48-2.59
Ge 0.1095 0.8905 0.1249  4 Ga 2.63-2.68
Ge 0.1961 0.8039 0.5061  3 Ga 2.48
Ge 0.2184 0.7816 0.7578  4 Ga 2.51-2.65
Ge 0.4210 0.5790 0.4271  1 Ga 2.47, 1 Ge 2.62
Ge 0.4489 0.5511 0.1326  3 Ga 2.50-2.57
Ge 0.4550 0.5450 0.8594  2 Ga 2.44-2.53, 1 Ge 2.62
Ge 0.5450 0.4550 0.3594  2 Ga 2.44-2.53, 1 Ge 2.62
Ge 0.5511 0.4489 0.6326  3 Ga 2.50-2.57
Ge 0.5790 0.4210 0.9271  1 Ga 2.47, 1 Ge 2.62
Ge 0.7816 0.2184 0.2578  4 Ga 2.51-2.65
Ge 0.8039 0.1961 0.0061  3 Ga 2.48
Ge 0.8905 0.1095 0.6249  4 Ga 2.63-2.68

The total magnetization is 0.00 μB per cell. The crystal system is orthorhombic. For the formation energy, the calculation gives -460 meV per atom. The total energy comes out at -4.543 eV per atom. Its density of states at the Fermi level is 0.32 states/eV per atom.

VASP calculation (GGA-PBE) on a relaxed DyGaGe crystal.

abc: 8.6624 7.3404 6.9754
angles: 74.42 54.71 50.87
Closest atoms and distances in Å follow each position.
Atoms (fractional coordinates):
Dy 0.0000 0.0000 0.0000  4 Ge 3.11-3.23, 4 Ga 3.16-3.44
Dy 0.0000 0.0000 0.5000  4 Ge 3.11-3.23, 4 Ga 3.16-3.44
Dy 0.0000 0.5000 0.0000  4 Ge 3.11-3.23, 4 Ga 3.16-3.44
Dy 0.5000 0.0000 0.0000  4 Ge 3.11-3.23, 4 Ga 3.16-3.44
Ga 0.2341 0.2341 0.5159  4 Ge 2.53-2.62
Ga 0.4841 0.4841 0.7659  4 Ge 2.53-2.62
Ga 0.5159 0.5159 0.2341  4 Ge 2.53-2.62
Ga 0.7659 0.7659 0.4841  4 Ge 2.53-2.62
Ge 0.2126 0.5374 0.2126  4 Ga 2.53-2.62
Ge 0.4626 0.7874 0.4626  4 Ga 2.53-2.62
Ge 0.5374 0.2126 0.5374  4 Ga 2.53-2.62
Ge 0.7874 0.4626 0.7874  4 Ga 2.53-2.62

The total magnetization is 0.00 μB per cell. The crystal system is orthorhombic. For the formation energy, the calculation gives -232 meV per atom. The total energy comes out at -4.314 eV per atom. Its density of states at the Fermi level is 0.90 states/eV per atom.

VASP calculation (GGA-PBE) on a relaxed Dy3GaGe2 crystal.

abc: 11.6042 4.1843 11.5477
angles: 90.00 90.00 90.00
Closest atoms and distances in Å follow each position.
Atoms (fractional coordinates):
Dy 0.0546 0.2500 0.1208  5 Ge 2.93-3.13, 1 Ga 2.98
Dy 0.1252 0.7500 0.5615  5 Ge 3.01-3.14, 3 Ga 3.08-3.13
Dy 0.2040 0.2500 0.8017  3 Ge 2.86-3.13, 2 Ga 2.90
Dy 0.2960 0.7500 0.3017  3 Ge 2.86-3.13, 2 Ga 2.90
Dy 0.3748 0.2500 0.0615  5 Ge 3.01-3.14, 3 Ga 3.08-3.13
Dy 0.4454 0.7500 0.6208  5 Ge 2.93-3.13, 1 Ga 2.98
Dy 0.5546 0.2500 0.3792  5 Ge 2.93-3.13, 1 Ga 2.98
Dy 0.6252 0.7500 0.9385  5 Ge 3.01-3.14, 3 Ga 3.08-3.13
Dy 0.7040 0.2500 0.6983  3 Ge 2.86-3.13, 2 Ga 2.90
Dy 0.7960 0.7500 0.1983  3 Ge 2.86-3.13, 2 Ga 2.90
Dy 0.8748 0.2500 0.4385  5 Ge 3.01-3.14, 3 Ga 3.08-3.13
Dy 0.9454 0.7500 0.8792  5 Ge 2.93-3.13, 1 Ga 2.98
Ga 0.1351 0.2500 0.3662  3 Ge 2.59-2.61
Ga 0.3649 0.7500 0.8662  3 Ge 2.59-2.61
Ga 0.6351 0.2500 0.1338  3 Ge 2.59-2.61
Ga 0.8649 0.7500 0.6338  3 Ge 2.59-2.61
Ge 0.0144 0.7500 0.3136  2 Ga 2.59, 1 Dy 2.86
Ge 0.1856 0.7500 0.0021  1 Ga 2.61
Ge 0.3144 0.2500 0.5021  1 Ga 2.61
Ge 0.4856 0.2500 0.8136  2 Ga 2.59, 1 Dy 2.86
Ge 0.5144 0.7500 0.1864  2 Ga 2.59, 1 Dy 2.86
Ge 0.6856 0.7500 0.4979  1 Ga 2.61
Ge 0.8144 0.2500 0.9979  1 Ga 2.61
Ge 0.9856 0.2500 0.6864  2 Ga 2.59, 1 Dy 2.86

The total magnetization is 0.00 μB per cell. For the energy relative to the lowest polymorph listed for this composition, the calculation gives 0.0000 eV/atom. The crystal system is orthorhombic. For the formation energy, the calculation gives -745 meV per atom. The total energy comes out at -5.090 eV per atom. Its density of states at the Fermi level is 0.53 states/eV per atom.

VASP calculation (GGA-PBE) on a relaxed Dy2GaGe3 crystal.

abc: 6.2597 6.2597 6.2597
angles: 136.01 124.02 73.81
Closest atoms and distances in Å follow each position.
Atoms (fractional coordinates):
Dy 0.1892 0.1892 0.0000  6 Ge 2.94-3.01, 1 Ga 3.11
Dy 0.8108 0.8108 0.0000  6 Ge 2.94-3.01, 1 Ga 3.11
Ga 0.5000 0.5000 0.0000  6 Ge 2.70-2.94
Ge 0.0000 0.5000 0.5000  2 Ga 2.94, 4 Dy 3.01
Ge 0.3667 0.8667 0.5000  1 Ge 2.67, 2 Ga 2.70, 2 Dy 2.94
Ge 0.6333 0.1333 0.5000  1 Ge 2.67, 2 Ga 2.70, 2 Dy 2.94

The total magnetization is 0.00 μB per cell. The crystal system is orthorhombic. For the formation energy, the calculation gives -363 meV per atom. The total energy comes out at -4.710 eV per atom. Its density of states at the Fermi level is 0.45 states/eV per atom.

VASP calculation (GGA-PBE) on a relaxed Dy2Ga4Ge crystal.

abc: 5.7792 5.8161 8.7304
angles: 90.00 103.03 90.00
Closest atoms and distances in Å follow each position.
Atoms (fractional coordinates):
Dy 0.0985 0.2500 0.3980  8 Ga 2.92-3.19
Dy 0.2675 0.7500 0.0124  1 Ge 2.98, 8 Ga 3.03-3.31
Dy 0.7325 0.2500 0.9876  1 Ge 2.98, 8 Ga 3.03-3.31
Dy 0.9015 0.7500 0.6020  8 Ga 2.92-3.19
Ga 0.2710 0.2500 0.1086  1 Ge 2.62, 2 Ga 2.63, 1 Dy 2.92
Ga 0.2988 0.7500 0.4251  4 Ga 2.70-2.72, 1 Ge 2.72
Ga 0.3994 0.5142 0.6981  1 Ge 2.59, 4 Ga 2.63-2.74
Ga 0.3994 0.9858 0.6981  1 Ge 2.59, 4 Ga 2.63-2.74
Ga 0.6006 0.0142 0.3019  1 Ge 2.59, 4 Ga 2.63-2.74
Ga 0.6006 0.4858 0.3019  1 Ge 2.59, 4 Ga 2.63-2.74
Ga 0.7012 0.2500 0.5749  4 Ga 2.70-2.72, 1 Ge 2.72
Ga 0.7290 0.7500 0.8914  1 Ge 2.62, 2 Ga 2.63, 1 Dy 2.92
Ge 0.1085 0.2500 0.8031  4 Ga 2.59-2.72
Ge 0.8915 0.7500 0.1969  4 Ga 2.59-2.72

The total magnetization is 0.00 μB per cell. The crystal system is monoclinic. For the formation energy, the calculation gives -463 meV per atom. The total energy comes out at -4.168 eV per atom. Its density of states at the Fermi level is 0.48 states/eV per atom.

VASP calculation (GGA-PBE) on a relaxed Dy8Ga2Ge crystal.

abc: 9.6491 9.6491 6.6328
angles: 101.73 101.73 29.62
Closest atoms and distances in Å follow each position.
Atoms (fractional coordinates):
Dy 0.0272 0.0272 0.2712  2 Ge 2.99, 1 Ga 3.01
Dy 0.2111 0.2111 0.8188  3 Ga 3.04-3.21, 2 Dy 3.35
Dy 0.3431 0.3431 0.5207  1 Ge 2.96, 3 Ga 2.99-3.05
Dy 0.4094 0.4094 0.0440  1 Ge 3.14, 3 Dy 3.43, 2 Ga 3.44
Dy 0.5906 0.5906 0.9560  1 Ge 3.14, 3 Dy 3.43, 2 Ga 3.44
Dy 0.6569 0.6569 0.4793  1 Ge 2.96, 3 Ga 2.99-3.05
Dy 0.7889 0.7889 0.1812  3 Ga 3.04-3.21, 2 Dy 3.35
Dy 0.9728 0.9728 0.7288  2 Ge 2.99, 1 Ga 3.01
Ga 0.1878 0.1878 0.2581  7 Dy 2.99-3.21
Ga 0.8122 0.8122 0.7419  7 Dy 2.99-3.21
Ge 0.5000 0.5000 0.5000  8 Dy 2.96-3.14

The total magnetization is 0.00 μB per cell. The crystal system is monoclinic. For the formation energy, the calculation gives -351 meV per atom. The total energy comes out at -4.668 eV per atom. Its density of states at the Fermi level is 0.94 states/eV per atom.

VASP calculation (GGA-PBE) on a relaxed Dy2GaGe crystal.

abc: 8.2697 8.2697 8.2697
angles: 26.75 26.75 26.75
Closest atoms and distances in Å follow each position.
Atoms (fractional coordinates):
Dy 0.2455 0.2455 0.2455  3 Ge 2.90, 3 Ga 3.05
Dy 0.7545 0.7545 0.7545  3 Ge 2.90, 3 Ga 3.05
Ga 0.0000 0.0000 0.0000  6 Dy 3.05
Ge 0.5000 0.5000 0.5000  6 Dy 2.90

The total magnetization is 0.00 μB per cell. The crystal system is trigonal. For the formation energy, the calculation gives -515 meV per atom. The total energy comes out at -4.727 eV per atom. Its density of states at the Fermi level is 0.72 states/eV per atom.

VASP calculation (GGA-PBE) on a relaxed Dy2GaGe crystal.

abc: 4.7690 4.7690 3.9759
angles: 90.00 90.00 90.00
Closest atoms and distances in Å follow each position.
Atoms (fractional coordinates):
Dy 0.0000 0.5000 0.0000  4 Ge 3.10, 4 Ga 3.10, 4 Dy 3.37
Dy 0.5000 0.0000 0.0000  4 Ge 3.10, 4 Ga 3.10, 4 Dy 3.37
Ga 0.0000 0.0000 0.5000  8 Dy 3.10, 4 Ge 3.37
Ge 0.5000 0.5000 0.5000  8 Dy 3.10, 4 Ga 3.37

The total magnetization is 0.00 μB per cell. The crystal system is tetragonal. For the formation energy, the calculation gives -611 meV per atom. The total energy comes out at -4.823 eV per atom. Its density of states at the Fermi level is 0.49 states/eV per atom.

VASP calculation (GGA-PBE) on a relaxed DyGaGe crystal.

abc: 8.0661 8.0661 3.8936
angles: 90.00 90.00 149.32
Closest atoms and distances in Å follow each position.
Atoms (fractional coordinates):
Dy 0.0947 0.9053 0.7500  6 Ge 2.94-3.22, 4 Ga 3.13-3.20
Dy 0.9053 0.0947 0.2500  6 Ge 2.94-3.22, 4 Ga 3.13-3.20
Ga 0.2581 0.7419 0.2500  4 Ga 2.90, 4 Dy 3.13-3.20
Ga 0.7419 0.2581 0.7500  4 Ga 2.90, 4 Dy 3.13-3.20
Ge 0.4397 0.5603 0.7500  2 Ge 2.70, 4 Dy 2.94
Ge 0.5603 0.4397 0.2500  2 Ge 2.70, 4 Dy 2.94

The total magnetization is 0.00 μB per cell. The crystal system is orthorhombic. For the formation energy, the calculation gives -552 meV per atom. The total energy comes out at -4.634 eV per atom. Its density of states at the Fermi level is 0.58 states/eV per atom.